MgZrTaOs2 at its PBEsol-relaxed geometry, computed with meta-GGA SCAN.

Geometry as CIF:
```
data_MgZrTaOs2
_symmetry_space_group_name_H-M 'P 4/m m m'
_symmetry_Int_Tables_number 123
_symmetry_space_group_name_Hall '-P 4 2'
_cell_length_a 4.481
_cell_length_b 4.481
_cell_length_c 4.547
_cell_angle_alpha 90.00
_cell_angle_beta 90.00
_cell_angle_gamma 90.00
loop_
_atom_site_label
_atom_site_type_symbol
_atom_site_fract_x
_atom_site_fract_y
_atom_site_fract_z
Mg1 Mg 0.000 0.000 0.000
Zr1 Zr 0.500 0.500 0.500
Ta1 Ta 0.000 0.000 0.500
Os1 Os 0.000 0.500 0.000
```

Results
Formation energy from the elements in eV per atom: 1.516
Magnetic moment in μB per cell: 0.00